Entry 1:
First-principles (GGA-PBE) data for NaSc3Rh after structural relaxation, as listed in Alexandria.

Cell lengths 4.940, 4.940, 4.940 Å; angles 90.00, 90.00, 90.00 degrees
Space group Pm-3m (No. 221)
One atom of each set of equivalent atoms:
Na1 0.000 0.000 0.000 (multiplicity 1)
Sc1 0.000 0.000 0.500 (multiplicity 3)
Rh1 0.500 0.500 0.500 (multiplicity 1)

Computed properties:
ΔH_f (0 K): 1219 meV/atom
M_tot: 1.5 Bohr magnetons per cell
ΔE to the lowest computed polymorph: 1369 meV per atom
N(E_F): 1.47 states/eV/atom



Entry 2:
First-principles (GGA-PBE) data for Na2ScRh after structural relaxation, as listed in Alexandria.

Cell lengths 6.864, 6.864, 6.864 Å; angles 90.00, 90.00, 90.00 degrees
Space group Fm-3m (No. 225)
One atom of each set of equivalent atoms:
Na1 0.250 0.250 0.250 (multiplicity 8)
Sc1 0.000 0.000 0.000 (multiplicity 4)
Rh1 0.000 0.000 0.500 (multiplicity 4)

Computed properties:
ΔH_f (0 K): 441 meV/atom
M_tot: 0.0 Bohr magnetons per cell
ΔE to the lowest computed polymorph: 365 meV per atom
N(E_F): 1.02 states/eV/atom



Entry 3:
First-principles (GGA-PBE) data for NaSc2SnRh after structural relaxation, as listed in Alexandria.

Cell lengths 4.991, 4.991, 4.566 Å; angles 90.00, 90.00, 90.00 degrees
Space group P4/mmm (No. 123)
One atom of each set of equivalent atoms:
Na1 0.000 0.000 0.000 (multiplicity 1)
Sc1 0.000 0.500 0.000 (multiplicity 2)
Sn1 0.500 0.500 0.500 (multiplicity 1)
Rh1 0.000 0.000 0.500 (multiplicity 1)

Computed properties:
ΔH_f (0 K): 714 meV/atom
M_tot: 0.4 Bohr magnetons per cell
N(E_F): 0.99 states/eV/atom



Entry 4:
First-principles (GGA-PBE) data for Na2ScTaRh after structural relaxation, as listed in Alexandria.

Cell lengths 4.953, 4.953, 4.549 Å; angles 90.00, 90.00, 90.00 degrees
Space group P4/mmm (No. 123)
One atom of each set of equivalent atoms:
Na1 0.000 0.500 0.000 (multiplicity 2)
Sc1 0.000 0.000 0.000 (multiplicity 1)
Ta1 0.500 0.500 0.500 (multiplicity 1)
Rh1 0.000 0.000 0.500 (multiplicity 1)

Computed properties:
ΔH_f (0 K): 1468 meV/atom
M_tot: 0.0 Bohr magnetons per cell
N(E_F): 1.44 states/eV/atom



Entry 5:
First-principles (GGA-PBE) data for NaRh3Se after structural relaxation, as listed in Alexandria.

Cell lengths 4.615, 4.615, 4.615 Å; angles 90.00, 90.00, 90.00 degrees
Space group Pm-3m (No. 221)
One atom of each set of equivalent atoms:
Na1 0.000 0.000 0.000 (multiplicity 1)
Rh1 0.000 0.500 0.500 (multiplicity 3)
Se1 0.500 0.500 0.500 (multiplicity 1)

Computed properties:
M_tot: 0.0 Bohr magnetons per cell
ΔE to the lowest computed polymorph: 0 meV per atom
uncorrected formation energy: 0.294 eV per atom
N(E_F): 0.73 states/eV/atom



Entry 6:
First-principles (GGA-PBE) data for Na2RhSe after structural relaxation, as listed in Alexandria.

Cell lengths 3.945, 3.945, 19.934 Å; angles 90.00, 90.00, 90.00 degrees
Space group I-42d (No. 122)
One atom of each set of equivalent atoms:
Na1 0.247 0.250 0.125 (multiplicity 8)
Rh1 0.000 0.000 0.500 (multiplicity 4)
Se1 0.000 0.000 0.000 (multiplicity 4)

Computed properties:
M_tot: 0.0 Bohr magnetons per cell
uncorrected formation energy: -0.011 eV per atom
N(E_F): 0.33 states/eV/atom



Entry 7:
First-principles (GGA-PBE) data for NaRh2Se2 after structural relaxation, as listed in Alexandria.

Cell lengths 4.709, 4.709, 8.814 Å; angles 90.00, 90.00, 90.00 degrees
Space group I4/mmm (No. 139)
One atom of each set of equivalent atoms:
Na1 0.000 0.000 0.000 (multiplicity 2)
Rh1 0.000 0.000 0.351 (multiplicity 4)
Se1 0.000 0.500 0.250 (multiplicity 4)

Computed properties:
M_tot: 0.0 Bohr magnetons per cell
ΔE to the lowest computed polymorph: 91 meV per atom
uncorrected formation energy: -0.308 eV per atom
N(E_F): 0.56 states/eV/atom



Entry 8:
First-principles (GGA-PBE) data for Na3RhSe after structural relaxation, as listed in Alexandria.

Cell lengths 5.426, 5.426, 5.426 Å; angles 90.00, 90.00, 90.00 degrees
Space group Pm-3m (No. 221)
One atom of each set of equivalent atoms:
Na1 0.000 0.000 0.500 (multiplicity 3)
Rh1 0.500 0.500 0.500 (multiplicity 1)
Se1 0.000 0.000 0.000 (multiplicity 1)

Computed properties:
M_tot: 2.0 Bohr magnetons per cell
ΔE to the lowest computed polymorph: 0 meV per atom
uncorrected formation energy: 0.210 eV per atom
N(E_F): 4.42 states/eV/atom



Entry 9:
First-principles (GGA-PBE) data for Na2Rh3Se6 after structural relaxation, as listed in Alexandria.

Cell lengths 6.520, 11.310, 7.064 Å; angles 90.00, 108.00, 90.00 degrees
Space group C2/m (No. 12)
One atom of each set of equivalent atoms:
Na1 0.000 0.166 0.000 (multiplicity 4)
Rh1 0.000 0.000 0.500 (multiplicity 2)
Rh2 0.000 0.333 0.500 (multiplicity 4)
Se1 0.230 0.167 0.689 (multiplicity 8)
Se2 0.231 0.500 0.692 (multiplicity 4)

Computed properties:
M_tot: 0.0 Bohr magnetons per cell
uncorrected formation energy: -0.588 eV per atom
N(E_F): 0.93 states/eV/atom



Entry 10:
First-principles (GGA-PBE) data for NaRh2Se2 after structural relaxation, as listed in Alexandria.

Cell lengths 3.980, 3.980, 12.721 Å; angles 90.00, 90.00, 90.00 degrees
Space group I4/mmm (No. 139)
One atom of each set of equivalent atoms:
Na1 0.000 0.000 0.000 (multiplicity 2)
Rh1 0.000 0.500 0.250 (multiplicity 4)
Se1 0.000 0.000 0.370 (multiplicity 4)

Computed properties:
M_tot: 0.0 Bohr magnetons per cell
ΔE to the lowest computed polymorph: 0 meV per atom
uncorrected formation energy: -0.398 eV per atom
N(E_F): 0.57 states/eV/atom



Entry 11:
First-principles (GGA-PBE) data for NaRh4Se8 after structural relaxation, as listed in Alexandria.

Cell lengths 7.3239, 7.3239, 20.5024 Å; angles 90.00, 90.00, 120.00 degrees
Space group R-3m (No. 166, hexagonal axes)
One atom of each set of equivalent atoms:
Na1 0.0000 0.0000 0.0000 (multiplicity 3)
Rh1 0.0000 0.0000 0.5000 (multiplicity 3)
Rh2 0.0000 0.5000 0.5000 (multiplicity 9)
Se1 0.0000 0.0000 0.2326 (multiplicity 6)
Se2 0.0016 0.5008 0.2323 (multiplicity 18)

Computed properties:
M_tot: 0.0 Bohr magnetons per cell
uncorrected formation energy: -0.418 eV per atom
N(E_F): 1.26 states/eV/atom



Entry 12:
First-principles (GGA-PBE) data for Na3RhSe after structural relaxation, as listed in Alexandria.

Cell lengths 5.311, 5.311, 5.311 Å; angles 90.00, 90.00, 90.00 degrees
Space group Pm-3m (No. 221)
One atom of each set of equivalent atoms:
Na1 0.000 0.000 0.500 (multiplicity 3)
Rh1 0.000 0.000 0.000 (multiplicity 1)
Se1 0.500 0.500 0.500 (multiplicity 1)

Computed properties:
M_tot: 1.9 Bohr magnetons per cell
ΔE to the lowest computed polymorph: 219 meV per atom
uncorrected formation energy: 0.429 eV per atom
N(E_F): 1.44 states/eV/atom



Entry 13:
First-principles (GGA-PBE) data for NaRh6Se8 after structural relaxation, as listed in Alexandria.

Cell lengths 9.5663, 9.5663, 11.5760 Å; angles 90.00, 90.00, 120.00 degrees
Space group R-3 (No. 148, hexagonal axes)
One atom of each set of equivalent atoms:
Na1 0.0000 0.0000 0.0000 (multiplicity 3)
Rh1 0.0226 0.1977 0.3831 (multiplicity 18)
Se1 0.0000 0.0000 0.2387 (multiplicity 6)
Se2 0.0150 0.3931 0.2477 (multiplicity 18)

Computed properties:
M_tot: 0.0 Bohr magnetons per cell
uncorrected formation energy: -0.419 eV per atom
N(E_F): 0.45 states/eV/atom



Entry 14:
First-principles (GGA-PBE) data for NaRh3Se after structural relaxation, as listed in Alexandria.

Cell lengths 4.567, 4.567, 4.567 Å; angles 90.00, 90.00, 90.00 degrees
Space group Pm-3m (No. 221)
One atom of each set of equivalent atoms:
Na1 0.000 0.000 0.000 (multiplicity 1)
Rh1 0.000 0.000 0.500 (multiplicity 3)
Se1 0.500 0.500 0.500 (multiplicity 1)

Computed properties:
M_tot: 2.5 Bohr magnetons per cell
ΔE to the lowest computed polymorph: 1367 meV per atom
uncorrected formation energy: 1.662 eV per atom
N(E_F): 1.16 states/eV/atom



Entry 15:
First-principles (GGA-PBE) data for Na3SnRh3Se8 after structural relaxation, as listed in Alexandria.

Cell lengths 7.6390, 7.6390, 20.3106 Å; angles 90.00, 90.00, 120.00 degrees
Space group R-3m (No. 166, hexagonal axes)
One atom of each set of equivalent atoms:
Na1 0.0000 0.5000 0.0000 (multiplicity 9)
Sn1 0.0000 0.0000 0.5000 (multiplicity 3)
Rh1 0.0000 0.5000 0.5000 (multiplicity 9)
Se1 0.0000 0.0000 0.2287 (multiplicity 6)
Se2 0.0225 0.5113 0.7658 (multiplicity 18)

Computed properties:
M_tot: 0.0 Bohr magnetons per cell
uncorrected formation energy: -0.644 eV per atom



Entry 16:
First-principles (GGA-PBE) data for Na4SnRh3Se8 after structural relaxation, as listed in Alexandria.

Cell lengths 7.7451, 7.7451, 20.3573 Å; angles 90.00, 90.00, 120.00 degrees
Space group R-3m (No. 166, hexagonal axes)
One atom of each set of equivalent atoms:
Na1 0.0000 0.0000 0.0000 (multiplicity 3)
Na2 0.0000 0.5000 0.0000 (multiplicity 9)
Sn1 0.0000 0.0000 0.5000 (multiplicity 3)
Rh1 0.0000 0.5000 0.5000 (multiplicity 9)
Se1 0.0000 0.0000 0.2299 (multiplicity 6)
Se2 0.0220 0.5110 0.7673 (multiplicity 18)

Computed properties:
M_tot: 0.0 Bohr magnetons per cell
uncorrected formation energy: -0.667 eV per atom
N(E_F): 0.36 states/eV/atom



Entry 17:
First-principles (GGA-PBE) data for Na2TaRh2Se6 after structural relaxation, as listed in Alexandria.

Cell lengths 6.315, 11.392, 7.414 Å; angles 90.00, 107.18, 90.00 degrees
Space group C2/m (No. 12)
One atom of each set of equivalent atoms:
Na1 0.000 0.165 0.000 (multiplicity 4)
Ta1 0.000 0.000 0.500 (multiplicity 2)
Rh1 0.000 0.336 0.500 (multiplicity 4)
Se1 0.228 0.500 0.706 (multiplicity 4)
Se2 0.231 0.175 0.695 (multiplicity 8)

Computed properties:
M_tot: 1.7 Bohr magnetons per cell
uncorrected formation energy: -0.654 eV per atom
N(E_F): 0.35 states/eV/atom



Entry 18:
First-principles (GGA-PBE) data for NaTeRhSe after structural relaxation, as listed in Alexandria.

Cell lengths 3.9474, 3.9474, 21.2023 Å; angles 90.00, 90.00, 120.00 degrees
Space group R3m (No. 160, hexagonal axes)
One atom of each set of equivalent atoms:
Na1 0.0000 0.0000 0.0000 (multiplicity 3)
Te1 0.0000 0.0000 0.4530 (multiplicity 3)
Rh1 0.0000 0.0000 0.8491 (multiplicity 3)
Se1 0.0000 0.0000 0.2419 (multiplicity 3)

Computed properties:
M_tot: 0.0 Bohr magnetons per cell
uncorrected formation energy: -0.612 eV per atom



Entry 19:
First-principles (GGA-PBE) data for Na4Th3RhSe8 after structural relaxation, as listed in Alexandria.

Cell lengths 15.032, 7.949, 8.609 Å; angles 90.00, 123.40, 90.00 degrees
Space group C2/m (No. 12)
One atom of each set of equivalent atoms:
Na1 0.000 0.000 0.000 (multiplicity 2)
Na2 0.000 0.500 0.000 (multiplicity 2)
Na3 0.250 0.250 0.000 (multiplicity 4)
Th1 0.000 0.000 0.500 (multiplicity 2)
Th2 0.250 0.250 0.500 (multiplicity 4)
Rh1 0.000 0.500 0.500 (multiplicity 2)
Se1 0.013 0.279 0.294 (multiplicity 8)
Se2 0.222 0.000 0.230 (multiplicity 4)
Se3 0.236 0.000 0.739 (multiplicity 4)

Computed properties:
M_tot: 0.0 Bohr magnetons per cell
uncorrected formation energy: -1.284 eV per atom
N(E_F): 0.34 states/eV/atom



Entry 20:
First-principles (GGA-PBE) data for Na3Ti3RhSe8 after structural relaxation, as listed in Alexandria.

Cell lengths 12.780, 7.379, 8.325 Å; angles 90.00, 120.78, 90.00 degrees
Space group C2/m (No. 12)
One atom of each set of equivalent atoms:
Na1 0.000 0.000 0.000 (multiplicity 2)
Na2 0.250 0.250 0.000 (multiplicity 4)
Ti1 0.000 0.500 0.500 (multiplicity 2)
Ti2 0.250 0.250 0.500 (multiplicity 4)
Rh1 0.000 0.000 0.500 (multiplicity 2)
Se1 0.014 0.246 0.294 (multiplicity 8)
Se2 0.233 0.000 0.705 (multiplicity 4)
Se3 0.238 0.500 0.711 (multiplicity 4)

Computed properties:
M_tot: 4.0 Bohr magnetons per cell
uncorrected formation energy: -1.044 eV per atom
N(E_F): 0.46 states/eV/atom